Entry 1:
A plane-wave DFT calculation with GGA-PBE was carried out for a relaxed Sc2BeAlBr crystal.

```
Sc2BeAlBr
1.0
5.017 0.000 0.000
0.000 5.017 0.000
0.000 0.000 4.200
Sc Be Al Br
2 1 1 1
direct
0.000 0.500 0.000
0.500 0.000 0.000
0.000 0.000 0.000
0.000 0.000 0.500
0.500 0.500 0.500
```

Calculated values
Total energy: -22.08 eV for the cell shown
M_tot: 0.000 μB per cell
V: 21.1 A^3/atom

***

Entry 2:
A plane-wave DFT calculation with GGA-PBE was carried out for a relaxed BeAlSeBr2 crystal.

```
BeAlSeBr2
1.0
4.951 0.000 0.000
0.000 4.951 0.000
0.000 0.000 5.118
Be Al Se Br
1 1 1 2
direct
0.000 0.000 0.000
0.500 0.500 0.500
0.500 0.500 0.000
0.000 0.500 0.500
0.500 0.000 0.500
```

Calculated values
Total energy: -13.24 eV for the cell shown
M_tot: 0.000 μB per cell
V: 25.1 A^3/atom